(1)
Here is a relaxed structure of MnCoPt2 from the Alexandria database. Energies are from PBE.

a = 9.0213 Å, b = 2.7654 Å, c = 4.6487 Å
α = 90.00°, β = 101.59°, γ = 90.00°
Last column: nearest neighbours and their distance in Å.
Space group Cm (No. 8)
One atom of each set of equivalent atoms:
Mn (0.0000, 0.0000, 0.0000)  7 Pt 2.64-2.76, 3 Co 2.70-2.88, 2 Mn 2.77
Co (0.2566, 0.0000, 0.7192)  7 Pt 2.63-2.71, 3 Mn 2.70-2.88, 2 Co 2.77
Pt (0.0100, 0.5000, 0.5173)  3 Co 2.63-2.64, 4 Mn 2.65-2.76, 5 Pt 2.77-2.83
Pt (0.2507, 0.5000, 0.2173)  3 Mn 2.64-2.67, 4 Co 2.70-2.71, 5 Pt 2.77-2.83

Summary:
Energy ... -58.1 eV per cell
Formation energy ... -177 meV per atom
Magnetization ... 12.427 Bohr magnetons per cell

=====

(2)
Here is a relaxed structure of Ti2VMo from the Alexandria database. Energies are from PBE.

a = 9.3322 Å, b = 5.0823 Å, c = 5.3195 Å
α = 90.00°, β = 91.08°, γ = 90.00°
Last column: nearest neighbours and their distance in Å.
Space group P2_1/c (No. 14)
One atom of each set of equivalent atoms:
Ti (0.1213, 0.1326, 0.1276)  3 V 2.50-2.67, 1 Mo 2.71
Ti (0.3648, 0.6199, 0.3941)  2 Mo 2.51-2.58, 1 V 2.70
V (0.1212, 0.6243, 0.1138)  4 Ti 2.50-2.70
Mo (0.3782, 0.1133, 0.3749)  3 Ti 2.51-2.71

Summary:
Energy ... -141.4 eV per cell
Formation energy ... 98 meV per atom
Magnetization ... 0.000 Bohr magnetons per cell

=====

(3)
Here is a relaxed structure of Tb6Pr5Nd from the Alexandria database. Energies are from PBE.

a = 5.1620 Å, b = 10.2097 Å, c = 15.4501 Å
α = 90.00°, β = 90.00°, γ = 90.00°
Last column: nearest neighbours and their distance in Å.
Space group Immm (No. 71)
One atom of each set of equivalent atoms:
Tb (0.0000, 0.2497, 0.0000)  6 Pr 3.62-3.63, 2 Nd 3.63, 4 Tb 3.64
Tb (0.0000, 0.2502, 0.3334)  1 Nd 3.62, 7 Pr 3.62-3.63, 4 Tb 3.64-3.65
Pr (0.0000, 0.0000, 0.1662)  8 Tb 3.62-3.63, 2 Nd 3.64, 2 Pr 3.65
Pr (0.0000, 0.0000, 0.5000)  8 Tb 3.63, 4 Pr 3.65
Pr (0.0000, 0.5000, 0.1667)  8 Tb 3.62-3.63, 4 Pr 3.65
Nd (0.0000, 0.5000, 0.5000)  8 Tb 3.62-3.63, 4 Pr 3.64

Summary:
Energy ... -112.5 eV per cell
Formation energy ... 15 meV per atom
Magnetization ... 0.000 Bohr magnetons per cell

=====

(4)
Here is a relaxed structure of Hg2Ir from the Alexandria database. Energies are from PBE.

a = 3.0270 Å, b = 3.0270 Å, c = 25.8623 Å
α = 90.00°, β = 90.00°, γ = 90.00°
Last column: nearest neighbours and their distance in Å.
Space group I4_1/amd (No. 141, origin choice 2)
One atom of each set of equivalent atoms:
Hg (0.0000, 0.2500, 0.3003)  4 Ir 2.88, 6 Hg 3.01-3.03
Ir (0.0000, 0.2500, 0.8750)  8 Hg 2.88, 4 Ir 3.03

Summary:
Energy ... -32.1 eV per cell
Formation energy ... 481 meV per atom
Magnetization ... 0.000 Bohr magnetons per cell

=====

- What is the energy in the second record?
  -141.4 eV per cell